1.
# UNbTc2

A relaxed UNbTc2 crystal (PBE, Alexandria).

POSCAR file:
```
UNbTc2
1.0
3.2423 0.0000 0.0000
0.0000 4.6520 0.0000
0.0000 0.0000 4.6520
Nb Tc U
1 2 1
Direct
0.5000 0.0000 0.0000 Nb
0.0000 0.0000 0.5000 Tc
0.0000 0.5000 0.0000 Tc
0.5000 0.5000 0.5000 U
```

Properties
Final energy, eV per atom: -10.67
DFT formation energy, eV/atom: -0.15



2.
# GePdO2

A relaxed GePdO2 crystal (PBE, Alexandria).

POSCAR file:
```
GePdO2
1.0
2.8971 -0.3040 5.9429
3.6463 -2.9041 4.6983
5.2042 -0.4460 4.0646
Pd Ge O
1 1 2
Direct
0.0000 0.0000 0.0000 Pd
0.5000 0.5000 0.5000 Ge
0.8866 0.8866 0.8866 O
0.1134 0.1134 0.1134 O
```

Properties
Formation energy from raw total energies, meV per atom: -771
Final energy, eV per atom: -5.70



3.
# Ca2La2H

A relaxed Ca2La2H crystal (PBE, Alexandria).

POSCAR file:
```
Ca2La2H
1.0
-1.5119 -0.8807 -6.7559
-3.9271 -5.5423 1.6013
-5.3957 4.0206 0.6834
La H Ca
4 2 4
Direct
0.8267 0.6733 0.0000 La
0.1733 0.3267 0.0000 La
0.6733 0.1733 0.0000 La
0.3267 0.8267 0.0000 La
0.0000 0.0000 0.0000 H
0.5000 0.5000 0.0000 H
0.3270 0.1730 0.5000 Ca
0.8270 0.3270 0.5000 Ca
0.6730 0.8270 0.5000 Ca
0.1730 0.6730 0.5000 Ca
```

Properties
Final energy, eV per atom: -3.38



4.
# LiNd2Ag

A relaxed LiNd2Ag crystal (PBE, Alexandria).

POSCAR file:
```
LiNd2Ag
1.0
-1.6614 -3.6586 3.5114
3.3692 -3.7573 1.7341
1.7793 0.1273 5.0293
Li Nd Ag
1 2 1
Direct
0.5000 0.5000 0.5000 Li
0.7500 0.7500 0.7500 Nd
0.2500 0.2500 0.2500 Nd
0.0000 0.0000 0.0000 Ag
```

Properties
Final energy, eV per atom: -3.63
DFT formation energy, eV/atom: -0.06



5.
# PaTa2FeC4

A relaxed PaTa2FeC4 crystal (PBE, Alexandria).

POSCAR file:
```
PaTa2FeC4
1.0
-0.8874 2.3832 -1.9785
-4.7286 -1.6351 2.7749
2.0523 7.1792 7.7275
C Fe Ta Pa
8 2 4 2
Direct
0.2688 0.5376 0.1207 C
0.7312 0.4624 0.6207 C
0.7312 0.4624 0.8793 C
0.2688 0.5376 0.3793 C
0.4334 0.8668 0.7500 C
0.5666 0.1332 0.2500 C
0.0000 0.0000 0.0000 C
0.0000 0.0000 0.5000 C
0.1587 0.3175 0.2500 Fe
0.8413 0.6825 0.7500 Fe
0.6305 0.2609 0.0472 Ta
0.3695 0.7391 0.9528 Ta
0.3695 0.7391 0.5472 Ta
0.6305 0.2609 0.4528 Ta
0.1013 0.2026 0.7500 Pa
0.8987 0.7974 0.2500 Pa
```

Properties
Final energy, eV per atom: -10.23
DFT formation energy, eV/atom: -0.41



6.
# U2Tl3PtSe6

A relaxed U2Tl3PtSe6 crystal (PBE, Alexandria).

POSCAR file:
```
U2Tl3PtSe6
1.0
-5.8633 2.7805 -2.3403
2.6252 -5.6868 -2.8905
-3.1550 -3.6091 6.8664
Se U Tl Pt
6 2 3 1
Direct
0.9318 0.5982 0.7933 Se
0.7504 0.7504 0.1921 Se
0.4018 0.0682 0.2067 Se
0.2496 0.2496 0.8079 Se
0.0682 0.4018 0.2067 Se
0.5982 0.9318 0.7933 Se
0.6678 0.3322 0.0000 U
0.3322 0.6678 0.0000 U
0.1667 0.8333 0.5000 Tl
0.5000 0.5000 0.5000 Tl
0.8333 0.1667 0.5000 Tl
0.0000 0.0000 0.0000 Pt
```

Properties
Formation energy from raw total energies, meV per atom: -660
Final energy, eV per atom: -5.38



7.
# TbMnIrRh

A relaxed TbMnIrRh crystal (PBE, Alexandria).

POSCAR file:
```
TbMnIrRh
1.0
-2.1620 1.0633 -3.9274
-3.4736 -2.6282 -1.5021
-4.3174 1.6054 0.1086
Tb Rh Ir Mn
1 1 1 1
Direct
0.7500 0.7500 0.7500 Tb
0.0000 0.0000 0.0000 Rh
0.5000 0.5000 0.5000 Ir
0.2500 0.2500 0.2500 Mn
```

Properties
Final energy, eV per atom: -7.89
DFT formation energy, eV/atom: -0.39



8.
# Pr4Th3ZrN8

A relaxed Pr4Th3ZrN8 crystal (PBE, Alexandria).

POSCAR file:
```
Pr4Th3ZrN8
1.0
7.2355 0.0001 -0.0002
0.0001 7.2651 0.0154
-3.6180 -3.6142 5.1187
Pr N Th Zr
4 8 3 1
Direct
0.0000 0.0000 0.0000 Pr
0.5000 0.0000 0.0000 Pr
0.5000 0.0000 0.5000 Pr
0.0000 0.0000 0.5000 Pr
0.2560 0.2679 0.5119 N
0.7440 0.7321 0.4881 N
0.7559 0.7211 0.9885 N
0.2326 0.7211 0.9885 N
0.2326 0.7212 0.4653 N
0.7674 0.2788 0.5347 N
0.7674 0.2789 0.0115 N
0.2441 0.2789 0.0115 N
0.0000 0.5000 0.5000 Th
0.5000 0.5000 0.0000 Th
0.5000 0.5000 0.5000 Th
0.0000 0.5000 0.0000 Zr
```

Properties
Formation energy from raw total energies, meV per atom: -1473
Final energy, eV per atom: -8.76



9.
# SrLiPmAu

A relaxed SrLiPmAu crystal (PBE, Alexandria).

POSCAR file:
```
SrLiPmAu
1.0
5.3652 0.0000 0.0000
2.6826 4.6464 0.0000
2.6826 1.5488 4.3807
Li Sr Pm Au
1 1 1 1
Direct
0.7500 0.7500 0.7500 Li
0.5000 0.5000 0.5000 Sr
0.0000 0.0000 0.0000 Pm
0.2500 0.2500 0.2500 Au
```

Properties
Final energy, eV per atom: -3.22
DFT formation energy, eV/atom: -0.31



10.
# Ba2Ga2S5

A relaxed Ba2Ga2S5 crystal (PBE, Alexandria).

POSCAR file:
```
Ba2Ga2S5
1.0
-6.2904 -8.0380 -3.6736
6.8242 -7.6070 3.6382
-3.9760 -2.4406 7.2753
Ba Ga S
8 8 20
Direct
0.4317 0.2683 0.6051 Ba
0.5683 0.7317 0.3949 Ba
0.7215 0.9817 0.8897 Ba
0.2785 0.0183 0.1103 Ba
0.2683 0.4317 0.1051 Ba
0.0183 0.2785 0.6103 Ba
0.7317 0.5683 0.8949 Ba
0.9817 0.7215 0.3897 Ba
0.0233 0.7722 0.9134 Ga
0.7722 0.0233 0.4134 Ga
0.6225 0.2322 0.1161 Ga
0.7678 0.3775 0.3839 Ga
0.2278 0.9767 0.5866 Ga
0.3775 0.7678 0.8839 Ga
0.9767 0.2278 0.0866 Ga
0.2322 0.6225 0.6161 Ga
0.0326 0.9674 0.7500 S
0.9657 0.3870 0.2336 S
0.0343 0.6130 0.7664 S
0.8383 0.7469 0.0884 S
0.2615 0.8158 0.4417 S
0.9674 0.0326 0.2500 S
0.4778 0.2412 0.9622 S
0.1617 0.2531 0.9116 S
0.2412 0.4778 0.4622 S
0.2531 0.1617 0.4116 S
0.5997 0.4003 0.2500 S
0.8158 0.2615 0.9417 S
0.7385 0.1842 0.5583 S
0.3870 0.9657 0.7336 S
0.7469 0.8383 0.5884 S
0.4003 0.5997 0.7500 S
0.6130 0.0343 0.2664 S
0.7588 0.5222 0.5378 S
0.5222 0.7588 0.0378 S
0.1842 0.7385 0.0583 S
```

Properties
Formation energy from raw total energies, meV per atom: -1392
Final energy, eV per atom: -4.79



11.
# SrMg4Zn4

A relaxed SrMg4Zn4 crystal (PBE, Alexandria).

POSCAR file:
```
SrMg4Zn4
1.0
5.1181 0.0000 0.0000
0.0000 9.2325 0.0000
0.0000 0.0000 9.2325
Zn Sr Mg
8 2 8
Direct
0.4255 0.2993 0.1708 Zn
0.9255 0.3292 0.7993 Zn
0.0745 0.7993 0.6708 Zn
0.5745 0.8292 0.2993 Zn
0.5745 0.1708 0.7007 Zn
0.0745 0.2007 0.3292 Zn
0.9255 0.6708 0.2007 Zn
0.4255 0.7007 0.8292 Zn
0.0000 0.0000 0.0000 Sr
0.5000 0.5000 0.5000 Sr
0.0820 0.1135 0.6157 Mg
0.0820 0.8865 0.3843 Mg
0.9180 0.6157 0.8865 Mg
0.5820 0.8843 0.6135 Mg
0.4180 0.6135 0.1157 Mg
0.4180 0.3865 0.8843 Mg
0.9180 0.3843 0.1135 Mg
0.5820 0.1157 0.3865 Mg
```

Properties
Final energy, eV per atom: -1.49
DFT formation energy, eV/atom: -0.03



12.
# KNdAg2F8

A relaxed KNdAg2F8 crystal (PBE, Alexandria).

POSCAR file:
```
KNdAg2F8
1.0
6.0950 0.0000 0.0000
0.0000 6.0950 0.0000
-3.0475 -3.0475 5.2214
F K Ag Nd
8 1 2 1
Direct
0.9986 0.9697 0.5819 F
0.5833 0.6121 0.5819 F
0.0303 0.4167 0.4181 F
0.1276 0.5559 0.8928 F
0.7652 0.3368 0.8928 F
0.3879 0.0014 0.4181 F
0.6632 0.8724 0.1072 F
0.4441 0.2348 0.1072 F
0.0000 0.0000 0.0000 K
0.2500 0.7500 0.5000 Ag
0.5000 0.5000 0.0000 Ag
0.7500 0.2500 0.5000 Nd
```

Properties
Formation energy from raw total energies, meV per atom: -2344
Final energy, eV per atom: -4.56



13.
# SrLaZr

A relaxed SrLaZr crystal (PBE, Alexandria).

POSCAR file:
```
SrLaZr
1.0
6.8815 -0.0258 0.0103
4.3790 5.3085 -0.0103
-5.3120 -3.3197 2.8492
Sr La Zr
1 1 1
Direct
0.3248 0.3248 0.0000 Sr
0.0320 0.0320 0.0000 La
0.6432 0.6432 0.0000 Zr
```

Properties
Final energy, eV per atom: -4.68
DFT formation energy, eV/atom: 0.38



14.
# Sc2AlZn2Pd5

A relaxed Sc2AlZn2Pd5 crystal (PBE, Alexandria).

POSCAR file:
```
Sc2AlZn2Pd5
1.0
3.6642 0.0000 0.0000
0.0000 9.4724 0.0000
0.0000 0.0000 9.4724
Pd Zn Sc Al
10 4 4 2
Direct
0.5000 0.9315 0.1983 Pd
0.5000 0.0685 0.8017 Pd
0.5000 0.4315 0.3017 Pd
0.5000 0.0000 0.5000 Pd
0.5000 0.1983 0.0685 Pd
0.5000 0.8017 0.9315 Pd
0.5000 0.5685 0.6983 Pd
0.5000 0.5000 0.0000 Pd
0.5000 0.6983 0.4315 Pd
0.5000 0.3017 0.5685 Pd
0.0000 0.1259 0.6259 Zn
0.0000 0.3741 0.1259 Zn
0.0000 0.8741 0.3741 Zn
0.0000 0.6259 0.8741 Zn
0.0000 0.3275 0.8275 Sc
0.0000 0.6725 0.1725 Sc
0.0000 0.1725 0.3275 Sc
0.0000 0.8275 0.6725 Sc
0.0000 0.5000 0.5000 Al
0.0000 0.0000 0.0000 Al
```

Properties
Final energy, eV per atom: -5.18
DFT formation energy, eV/atom: -0.68



15.
# Ti7Tl2Ga2

A relaxed Ti7Tl2Ga2 crystal (PBE, Alexandria).

POSCAR file:
```
Ti7Tl2Ga2
1.0
6.1055 -0.0070 -0.5232
-0.0013 6.1354 0.0065
-0.9026 0.0022 6.0610
Tl Ga Ti
2 2 7
Direct
0.8154 0.5000 0.8154 Tl
0.1846 0.5000 0.1846 Tl
0.2777 0.9993 0.7223 Ga
0.7223 0.0007 0.2777 Ga
0.0005 0.2669 0.5009 Ti
0.4999 0.7493 0.5001 Ti
0.9995 0.7331 0.4991 Ti
0.4991 0.2669 0.9995 Ti
0.5009 0.7331 0.0005 Ti
0.5001 0.2507 0.4999 Ti
0.0000 0.0000 0.0000 Ti
```

Properties
Final energy, eV per atom: -5.70
DFT formation energy, eV/atom: 0.30



16.
# PrSm3Ho6Tm2

A relaxed PrSm3Ho6Tm2 crystal (PBE, Alexandria).

POSCAR file:
```
PrSm3Ho6Tm2
1.0
-1.3804 3.5790 4.8235
-4.4759 -1.9801 -3.7451
0.5861 -9.9695 6.2562
Tm Ho Sm Pr
2 6 3 1
Direct
0.6668 0.3332 0.0000 Tm
0.3332 0.6668 0.0000 Tm
0.7488 0.7488 0.2485 Ho
0.2512 0.2512 0.7515 Ho
0.4177 0.0833 0.2486 Ho
0.9167 0.5823 0.7514 Ho
0.0833 0.4177 0.2486 Ho
0.5823 0.9167 0.7514 Ho
0.5000 0.5000 0.5000 Sm
0.8330 0.1670 0.5000 Sm
0.1670 0.8330 0.5000 Sm
0.0000 0.0000 0.0000 Pr
```

Properties
Final energy, eV per atom: -4.59
DFT formation energy, eV/atom: 0.02



17.
# TaW2N

A relaxed TaW2N crystal (PBE, Alexandria).

POSCAR file:
```
TaW2N
1.0
2.9194 0.0000 -0.0043
0.0000 4.2627 0.0000
-2.8916 0.0000 8.9248
N W Ta
2 4 2
Direct
0.7134 0.0000 0.0668 N
0.7134 0.5000 0.5668 N
0.3839 0.5000 0.7381 W
0.7178 0.5000 0.0713 W
0.7178 0.0000 0.5713 W
0.3839 0.0000 0.2381 W
0.0367 0.0000 0.8891 Ta
0.0367 0.5000 0.3891 Ta
```

Properties
Formation energy from raw total energies, meV per atom: -230
Final energy, eV per atom: -11.75



18.
# InGaNi

A relaxed InGaNi crystal (PBE, Alexandria).

POSCAR file:
```
InGaNi
1.0
3.1454 0.0107 -0.0477
-0.0046 3.1454 -0.0477
-1.4138 -1.4207 10.3624
Ga In Ni
2 2 2
Direct
0.2899 0.2899 0.0784 Ga
0.7101 0.7101 0.9216 Ga
0.4344 0.4344 0.3599 In
0.5656 0.5656 0.6401 In
0.1536 0.1536 0.8107 Ni
0.8464 0.8464 0.1893 Ni
```

Properties
Final energy, eV per atom: -4.01
DFT formation energy, eV/atom: -0.16



19.
# Pm3RuBr3

A relaxed Pm3RuBr3 crystal (PBE, Alexandria).

POSCAR file:
```
Pm3RuBr3
1.0
4.2080 0.0000 0.0000
0.0000 8.7805 -0.3507
0.0000 0.1445 12.1590
Pm Ru Br
6 2 6
Direct
0.2500 0.8671 0.6296 Pm
0.7500 0.1329 0.3704 Pm
0.7500 0.7149 0.3950 Pm
0.7500 0.1034 0.8290 Pm
0.2500 0.2851 0.6050 Pm
0.2500 0.8966 0.1710 Pm
0.2500 0.9326 0.3989 Ru
0.7500 0.0674 0.6011 Ru
0.2500 0.3401 0.8566 Br
0.7500 0.1291 0.1038 Br
0.7500 0.5739 0.6299 Br
0.2500 0.8709 0.8962 Br
0.2500 0.4261 0.3701 Br
0.7500 0.6599 0.1434 Br
```

Properties
Formation energy from raw total energies, meV per atom: -1248
Final energy, eV per atom: -5.33



20.
# LiTiCl3

A relaxed LiTiCl3 crystal (PBE, Alexandria).

POSCAR file:
```
LiTiCl3
1.0
4.9636 0.0000 0.0000
0.0000 4.9636 0.0000
0.0000 0.0000 4.9636
Ti Li Cl
1 1 3
Direct
0.0000 0.0000 0.0000 Ti
0.5000 0.5000 0.5000 Li
0.5000 0.0000 0.0000 Cl
0.0000 0.0000 0.5000 Cl
0.0000 0.5000 0.0000 Cl
```

Properties
Formation energy from raw total energies, meV per atom: -1262
Final energy, eV per atom: -4.33